First-principles (GGA-PBE) data for a relaxed Ta2CrP crystal, as listed in the Alexandria database.

Properties
Its total magnetization is 1.3 μB per formula unit. The total energy comes out at -9.49 eV/atom. As for the theoretical density: 12.33 Mg/m³. The volume is 14.98 Å³/atom. The value obtained for the formation energy is 0.198 eV per atom.

abc: 4.3921 4.3921 4.3921
angles: 60.00 60.00 60.00
Element x y z (fractional)
Ta 0.0000 0.0000 0.0000
Ta 0.2500 0.2500 0.2500
Cr 0.5000 0.5000 0.5000
P 0.7500 0.7500 0.7500